[1]
## Ti2ZnTeP (meta-GGA SCAN)

Data for Ti2ZnTeP at its PBEsol-relaxed geometry.

Structure (POSCAR):
```
Ti2ZnTeP
1.0
-0.6670 -3.9212 1.5180
2.3573 1.1153 3.9168
-4.0052 1.4542 1.9964
Ti P Te Zn
2 1 1 1
direct
0.0000 0.0000 0.5000 Ti
0.0000 0.5000 0.0000 Ti
0.0000 0.0000 0.0000 P
0.5000 0.5000 0.5000 Te
0.5000 0.0000 0.0000 Zn
```

Results
- Uncorrected formation energy: -14 kJ/mol of atoms
- Theoretical density: 5.63 Mg/m³
- Size of the total moment: 2.78 μB/f.u.
- Symmetry: No. 123

[2]
## TlTe2P (meta-GGA SCAN)

Data for TlTe2P at its PBEsol-relaxed geometry.

Structure (POSCAR):
```
TlTe2P
1.0
-1.6436 3.9549 0.2733
-1.1971 -0.7772 4.0473
6.3056 0.3162 -0.3495
P Te Tl
1 2 1
direct
0.0000 0.0000 0.0000 P
0.7500 0.2500 0.5000 Te
0.2500 0.7500 0.5000 Te
0.5000 0.5000 0.0000 Tl
```

Results
- Uncorrected formation energy: 52 kJ/mol of atoms
- Theoretical density: 7.97 Mg/m³
- Size of the total moment: 0.00 μB/f.u.
- Symmetry: No. 139

[3]
## TlTeP (meta-GGA SCAN)

Data for TlTeP at its PBEsol-relaxed geometry.

Structure (POSCAR):
```
TlTeP
1.0
-1.7239 -3.1286 0.9119
0.4976 -1.2723 -3.4242
5.6510 -0.1117 2.8474
P Te Tl
1 1 1
direct
0.9581 0.9581 0.9162 P
0.3806 0.3806 0.7611 Te
0.6614 0.6614 0.3227 Tl
```

Results
- Uncorrected formation energy: 20 kJ/mol of atoms
- Theoretical density: 7.69 Mg/m³
- Size of the total moment: 0.00 μB/f.u.
- Symmetry: No. 107

Which formula does entry 3 have? TlTeP